Below is crystalline Na2Ga2Pt at its relaxed geometry, with properties calculated at the PBE level.

abc: 5.4756 5.4756 8.3993
angles: 97.29 97.29 61.77
Closest atoms and distances in Å follow each position.
Sites, in units of the cell vectors:
Na (0.0524, 0.2470, 0.1787)  6 Ga 3.01-3.28, 3 Pt 3.12-3.36, 1 Na 3.22
Na (0.2470, 0.0524, 0.6787)  6 Ga 3.01-3.28, 3 Pt 3.12-3.36, 1 Na 3.22
Na (0.7530, 0.9476, 0.3213)  6 Ga 3.01-3.28, 3 Pt 3.12-3.36, 1 Na 3.22
Na (0.9476, 0.7530, 0.8213)  6 Ga 3.01-3.28, 3 Pt 3.12-3.36, 1 Na 3.22
Ga (0.2620, 0.4819, 0.4939)  2 Pt 2.52-2.53, 2 Ga 2.69-2.80
Ga (0.4819, 0.2620, 0.9939)  2 Pt 2.52-2.53, 2 Ga 2.69-2.80
Ga (0.5181, 0.7380, 0.0061)  2 Pt 2.52-2.53, 2 Ga 2.69-2.80
Ga (0.7380, 0.5181, 0.5061)  2 Pt 2.52-2.53, 2 Ga 2.69-2.80
Pt (0.4280, 0.5720, 0.2500)  4 Ga 2.52-2.53
Pt (0.5720, 0.4280, 0.7500)  4 Ga 2.52-2.53

Summary:
**ΔE_f**: -0.34 eV per atom
**Offset from the most stable computed form**: 0.000 eV/f.u.


Below is crystalline Na3AlS3 at its relaxed geometry, with properties calculated at the PBE level.

abc: 13.7713 12.1509 7.6629
angles: 90.00 99.04 90.00
Closest atoms and distances in Å follow each position.
Sites, in units of the cell vectors:
Na (0.0135, 0.2477, 0.0034)  4 S 2.77-3.06
Na (0.0135, 0.2523, 0.5034)  4 S 2.77-3.06
Na (0.1933, 0.5180, 0.5833)  4 S 2.83-2.88
Na (0.1933, 0.9820, 0.0833)  4 S 2.83-2.88
Na (0.2412, 0.6940, 0.0398)  4 S 2.78-3.11
Na (0.2412, 0.8060, 0.5398)  4 S 2.78-3.11
Na (0.2433, 0.1736, 0.4946)  5 S 2.83-2.98
Na (0.2433, 0.3264, 0.9946)  5 S 2.83-2.98
Na (0.3650, 0.0861, 0.8903)  5 S 2.80-3.04
Na (0.3650, 0.4139, 0.3903)  5 S 2.80-3.04
Na (0.4748, 0.7380, 0.9193)  4 S 2.78-3.09
Na (0.4748, 0.7620, 0.4193)  4 S 2.78-3.09
Na (0.5252, 0.2380, 0.5807)  4 S 2.78-3.09
Na (0.5252, 0.2620, 0.0807)  4 S 2.78-3.09
Na (0.6350, 0.5861, 0.6097)  5 S 2.80-3.04
Na (0.6350, 0.9139, 0.1097)  5 S 2.80-3.04
Na (0.7567, 0.6736, 0.0054)  5 S 2.83-2.98
Na (0.7567, 0.8264, 0.5054)  5 S 2.83-2.98
Na (0.7588, 0.1940, 0.4602)  4 S 2.78-3.11
Na (0.7588, 0.3060, 0.9602)  4 S 2.78-3.11
Na (0.8067, 0.0180, 0.9167)  4 S 2.83-2.88
Na (0.8067, 0.4820, 0.4167)  4 S 2.83-2.88
Na (0.9865, 0.7477, 0.4966)  4 S 2.77-3.06
Na (0.9865, 0.7523, 0.9966)  4 S 2.77-3.06
Al (0.0732, 0.5068, 0.1741)  4 S 2.23-2.32
Al (0.0732, 0.9932, 0.6741)  4 S 2.23-2.32
Al (0.4342, 0.0212, 0.3207)  4 S 2.22-2.32
Al (0.4342, 0.4788, 0.8207)  4 S 2.22-2.32
Al (0.5658, 0.5212, 0.1793)  4 S 2.22-2.32
Al (0.5658, 0.9788, 0.6793)  4 S 2.22-2.32
Al (0.9268, 0.0068, 0.3259)  4 S 2.23-2.32
Al (0.9268, 0.4932, 0.8259)  4 S 2.23-2.32
S (0.0965, 0.5034, 0.8814)  2 Al 2.31-2.32
S (0.0965, 0.9966, 0.3814)  2 Al 2.31-2.32
S (0.1227, 0.6669, 0.2991)  1 Al 2.23
S (0.1227, 0.8331, 0.7991)  1 Al 2.23
S (0.1468, 0.1403, 0.8096)  1 Al 2.23
S (0.1468, 0.3597, 0.3096)  1 Al 2.23
S (0.3703, 0.1840, 0.2381)  1 Al 2.22
S (0.3703, 0.3160, 0.7381)  1 Al 2.22
S (0.3865, 0.6102, 0.6219)  1 Al 2.23
S (0.3865, 0.8898, 0.1219)  1 Al 2.23
S (0.3969, 0.5330, 0.0911)  2 Al 2.31-2.32
S (0.3969, 0.9670, 0.5911)  2 Al 2.31-2.32
S (0.6031, 0.0330, 0.4089)  2 Al 2.31-2.32
S (0.6031, 0.4670, 0.9089)  2 Al 2.31-2.32
S (0.6135, 0.1102, 0.8781)  1 Al 2.23
S (0.6135, 0.3898, 0.3781)  1 Al 2.23
S (0.6297, 0.6840, 0.2619)  1 Al 2.22
S (0.6297, 0.8160, 0.7619)  1 Al 2.22
S (0.8532, 0.6403, 0.6904)  1 Al 2.23
S (0.8532, 0.8597, 0.1904)  1 Al 2.23
S (0.8773, 0.1669, 0.2009)  1 Al 2.23
S (0.8773, 0.3331, 0.7009)  1 Al 2.23
S (0.9035, 0.0034, 0.6186)  2 Al 2.31-2.32
S (0.9035, 0.4966, 0.1186)  2 Al 2.31-2.32

Summary:
**Offset from the most stable computed form**: 0.000 eV/f.u.
**ΔE_f (raw)**: -1195 meV per atom


Below is crystalline YHfAl at its relaxed geometry, with properties calculated at the PBE level.

abc: 4.3027 4.3027 7.9513
angles: 90.00 90.00 90.00
Closest atoms and distances in Å follow each position.
Sites, in units of the cell vectors:
Y (0.2500, 0.2500, 0.1572)  5 Al 3.13-3.22, 4 Hf 3.47
Y (0.7500, 0.7500, 0.8428)  5 Al 3.13-3.22, 4 Hf 3.47
Hf (0.2500, 0.7500, 0.5000)  4 Al 2.94, 4 Hf 3.04
Hf (0.7500, 0.2500, 0.5000)  4 Al 2.94, 4 Hf 3.04
Al (0.2500, 0.2500, 0.7517)  4 Hf 2.94, 5 Y 3.13-3.22
Al (0.7500, 0.7500, 0.2483)  4 Hf 2.94, 5 Y 3.13-3.22

Summary:
**ΔE_f**: -0.25 eV per atom
**Offset from the most stable computed form**: 0.000 eV/f.u.


Below is crystalline K2Sm2RuO6 at its relaxed geometry, with properties calculated at the PBE level.

abc: 5.8781 5.8781 6.5925
angles: 97.35 97.35 119.31
Closest atoms and distances in Å follow each position.
Sites, in units of the cell vectors:
K (0.1582, 0.8418, 0.0000)  4 O 2.71-2.77
K (0.8418, 0.1582, 0.0000)  4 O 2.71-2.77
Sm (0.3339, 0.6661, 0.5000)  6 O 2.32-2.38
Sm (0.6661, 0.3339, 0.5000)  6 O 2.32-2.38
Ru (0.0000, 0.0000, 0.5000)  6 O 2.03-2.13
O (0.0468, 0.3563, 0.6749)  1 Ru 2.13, 2 Sm 2.32-2.35
O (0.2368, 0.2368, 0.3263)  1 Ru 2.03
O (0.3563, 0.0468, 0.6749)  1 Ru 2.13, 2 Sm 2.32-2.35
O (0.6437, 0.9532, 0.3251)  1 Ru 2.13, 2 Sm 2.32-2.35
O (0.7632, 0.7632, 0.6737)  1 Ru 2.03
O (0.9532, 0.6437, 0.3251)  1 Ru 2.13, 2 Sm 2.32-2.35

Summary:
**ΔE_f (raw)**: -2136 meV per atom


Below is crystalline AcTb3Pr2Sm6 at its relaxed geometry, with properties calculated at the PBE level.

abc: 6.3404 6.3404 12.1161
angles: 95.02 95.02 120.00
Closest atoms and distances in Å follow each position.
Sites, in units of the cell vectors:
Ac (0.0000, 0.0000, 0.0000)  6 Pr 3.66, 6 Sm 3.73
Tb (0.1670, 0.8330, 0.5000)  6 Sm 3.58-3.60, 6 Tb 3.66-3.67
Tb (0.5000, 0.5000, 0.5000)  6 Sm 3.59-3.60, 6 Tb 3.66
Tb (0.8330, 0.1670, 0.5000)  6 Sm 3.58-3.60, 6 Tb 3.66-3.67
Pr (0.3334, 0.6666, 0.0000)  3 Pr 3.66, 3 Ac 3.66, 6 Sm 3.71-3.72
Pr (0.6666, 0.3334, 0.0000)  3 Pr 3.66, 3 Ac 3.66, 6 Sm 3.71-3.72
Sm (0.0862, 0.4214, 0.2564)  3 Tb 3.58-3.60, 6 Sm 3.65-3.68, 2 Pr 3.71-3.72, 1 Ac 3.73
Sm (0.2490, 0.2490, 0.7433)  3 Tb 3.59, 6 Sm 3.65-3.68, 2 Pr 3.72, 1 Ac 3.73
Sm (0.4214, 0.0862, 0.2564)  3 Tb 3.58-3.60, 6 Sm 3.65-3.68, 2 Pr 3.71-3.72, 1 Ac 3.73
Sm (0.5786, 0.9138, 0.7436)  3 Tb 3.58-3.60, 6 Sm 3.65-3.68, 2 Pr 3.71-3.72, 1 Ac 3.73
Sm (0.7510, 0.7510, 0.2567)  3 Tb 3.59, 6 Sm 3.65-3.68, 2 Pr 3.72, 1 Ac 3.73
Sm (0.9138, 0.5786, 0.7436)  3 Tb 3.58-3.60, 6 Sm 3.65-3.68, 2 Pr 3.71-3.72, 1 Ac 3.73

Summary:
**ΔE_f**: 0.03 eV per atom


Below is crystalline SrLi3In2 at its relaxed geometry, with properties calculated at the PBE level.

abc: 4.7951 4.7951 14.9850
angles: 90.00 90.00 120.00
Closest atoms and distances in Å follow each position.
Sites, in units of the cell vectors:
Sr (0.0000, 0.0000, 0.2500)  8 Li 3.57-3.75, 6 In 3.72
Sr (0.0000, 0.0000, 0.7500)  8 Li 3.57-3.75, 6 In 3.72
Li (0.0000, 0.0000, 0.0000)  6 In 3.05, 6 Li 3.14
Li (0.0000, 0.0000, 0.5000)  6 In 3.05, 6 Li 3.14
Li (0.3333, 0.6667, 0.0996)  4 In 2.76-2.78
Li (0.3333, 0.6667, 0.4004)  4 In 2.76-2.78
Li (0.6667, 0.3333, 0.5996)  4 In 2.76-2.78
Li (0.6667, 0.3333, 0.9004)  4 In 2.76-2.78
In (0.3333, 0.6667, 0.5847)  7 Li 2.76-3.05
In (0.3333, 0.6667, 0.9153)  7 Li 2.76-3.05
In (0.6667, 0.3333, 0.0847)  7 Li 2.76-3.05
In (0.6667, 0.3333, 0.4153)  7 Li 2.76-3.05

Summary:
**ΔE_f**: -0.26 eV per atom
**Offset from the most stable computed form**: 0.067 eV/f.u.


Ordered electronic total energy results: -3.2908, -4.0639, -6.9661, -6.7417, -4.6296, -2.4057; unit eV per atom.